Entry 1:
Compound: TbErAsO
Source: the Open Quantum Materials Database
Functional: GGA-PBE
Structure: optimized geometry

Output
As for the crystal system: tetragonal. The value obtained for the energy is -6.61 eV per atom. The total magnetization comes out at 0.01 μB per cell.

a b c (Å): 4.3301 4.3301 8.7306
angles (deg): 90.00 90.00 90.00
With the nearest neighbours (Å) after each atom.
Positions (direct):
Tb  0.2500  0.2500  0.1032  4 O 2.35
Tb  0.7500  0.7500  0.8968  4 O 2.35
Er  0.2500  0.7500  0.5000  4 As 2.80, 4 Er 3.06
Er  0.7500  0.2500  0.5000  4 As 2.80, 4 Er 3.06
As  0.2500  0.2500  0.7031  4 Er 2.80
As  0.7500  0.7500  0.2969  4 Er 2.80
O  0.2500  0.7500  0.0000  4 Tb 2.35
O  0.7500  0.2500  0.0000  4 Tb 2.35

***

Entry 2:
Compound: PaTlAg
Source: the Open Quantum Materials Database
Functional: GGA-PBE
Structure: optimized geometry

Output
As for the crystal system: cubic. The value obtained for the energy is -4.56 eV per atom. The total magnetization comes out at 3.91 μB per cell.

a b c (Å): 6.8309 6.8309 6.8309
angles (deg): 90.00 90.00 90.00
With the nearest neighbours (Å) after each atom.
Positions (direct):
Pa  0.0000  0.0000  0.0000  4 Ag 2.96
Pa  0.0000  0.5000  0.5000  4 Ag 2.96
Pa  0.5000  0.0000  0.5000  4 Ag 2.96
Pa  0.5000  0.5000  0.0000  4 Ag 2.96
Tl  0.0000  0.0000  0.5000  4 Ag 2.96
Tl  0.0000  0.5000  0.0000  4 Ag 2.96
Tl  0.5000  0.0000  0.0000  4 Ag 2.96
Tl  0.5000  0.5000  0.5000  4 Ag 2.96
Ag  0.2500  0.2500  0.2500  4 Tl 2.96, 4 Pa 2.96
Ag  0.2500  0.7500  0.7500  4 Tl 2.96, 4 Pa 2.96
Ag  0.7500  0.2500  0.7500  4 Tl 2.96, 4 Pa 2.96
Ag  0.7500  0.7500  0.2500  4 Tl 2.96, 4 Pa 2.96

***

Entry 3:
Compound: GdScSn
Source: the Open Quantum Materials Database
Functional: GGA-PBE
Structure: optimized geometry

Output
As for the crystal system: cubic. The value obtained for the energy is -4.76 eV per atom. The total magnetization comes out at 1.43 μB per cell.

a b c (Å): 7.2030 7.2030 7.2030
angles (deg): 90.00 90.00 90.00
With the nearest neighbours (Å) after each atom.
Positions (direct):
Gd  0.0000  0.0000  0.0000  4 Sn 3.12, 4 Sc 3.12
Gd  0.0000  0.5000  0.5000  4 Sn 3.12, 4 Sc 3.12
Gd  0.5000  0.0000  0.5000  4 Sn 3.12, 4 Sc 3.12
Gd  0.5000  0.5000  0.0000  4 Sn 3.12, 4 Sc 3.12
Sc  0.2500  0.2500  0.7500  4 Gd 3.12
Sc  0.2500  0.7500  0.2500  4 Gd 3.12
Sc  0.7500  0.2500  0.2500  4 Gd 3.12
Sc  0.7500  0.7500  0.7500  4 Gd 3.12
Sn  0.2500  0.2500  0.2500  4 Gd 3.12
Sn  0.2500  0.7500  0.7500  4 Gd 3.12
Sn  0.7500  0.2500  0.7500  4 Gd 3.12
Sn  0.7500  0.7500  0.2500  4 Gd 3.12

***

> Which value of energy does entry 2 give?

-4.56 eV per atom